Record 1
SrBeAs2 | Alexandria via LeMat-Bulk | meta-GGA SCAN | single point on PBEsol structure; mass density = 4.73 g cm⁻³; formation energy = -0.21 eV/atom; VASP energy = -67.8 eV/cell
1.0
-1.882 2.221 5.176
1.882 -2.221 5.176
1.882 2.221 -5.176
Sr Be As
1 1 2
Direct
0.000 0.000 0.000
0.750 0.250 0.500
0.264 0.764 0.500
0.627 0.627 0.000

=====

Record 2
SrBe2As2 | Alexandria via LeMat-Bulk | meta-GGA SCAN | single point on PBEsol structure; mass density = 4.70 g cm⁻³; formation energy = -0.71 eV/atom; VASP energy = -74.9 eV/cell
1.0
-1.884 1.884 6.362
1.884 -1.884 6.362
1.884 1.884 -6.362
Sr Be As
1 2 2
Direct
0.000 0.000 0.000
0.250 0.750 0.500
0.750 0.250 0.500
0.356 0.356 0.000
0.644 0.644 0.000

=====

Record 3
SrBeAs3 | Alexandria via LeMat-Bulk | meta-GGA SCAN | single point on PBEsol structure; mass density = 5.26 g cm⁻³; formation energy = -0.16 eV/atom; VASP energy = -88.0 eV/cell
1.0
4.663 0.000 0.000
0.000 4.663 0.000
0.000 0.000 4.663
Sr Be As
1 1 3
Direct
0.000 0.000 0.000
0.500 0.500 0.500
0.000 0.500 0.500
0.500 0.000 0.500
0.500 0.500 0.000

=====

Record 4
Ta2BeAs | Alexandria via LeMat-Bulk | meta-GGA SCAN | single point on PBEsol structure; mass density = 12.97 g cm⁻³; formation energy = -0.33 eV/atom; VASP energy = -159.0 eV/cell; energy relative to the lowest polymorph listed for this composition = 0 kJ/mol of formula units
1.0
3.517 0.000 0.000
0.000 1.742 4.659
0.000 -1.742 4.659
Ta Be As
2 1 1
Direct
0.000 0.000 0.000
0.500 0.304 0.304
0.000 0.737 0.737
0.500 0.588 0.588